Entry 1:
! PBE-GGA La3TcRh, optimized geometry; values from VASP
! * space-group type: No. 221
! * energy relative to the lowest polymorph listed for this composition: 0 meV per atom
! * total moment: 0.000 μB/cell
! * energy relative to the elements: 0.169 eV per atom
! * total energy: -6.3308 eV/atom
! * calculated volume: 30.66 Å³/atom
&SYSTEM
  ibrav = 0, nat = 5, ntyp = 3
/
ATOMIC_SPECIES
La 138.91 La.upf
Tc 98.00 Tc.upf
Rh 102.91 Rh.upf
ATOMIC_POSITIONS angstrom
La 0.0000 0.0000 2.6760
La 0.0000 2.6760 0.0000
La 2.6760 0.0000 0.0000
Tc 0.0000 0.0000 0.0000
Rh 2.6760 2.6760 2.6760
CELL_PARAMETERS angstrom
5.3520 0.0000 0.0000
0.0000 5.3520 0.0000
0.0000 0.0000 5.3520

---

Entry 2:
! PBE-GGA GdTiC, optimized geometry; values from VASP
! * space-group type: No. 156
! * total moment: 5.982 μB/cell
! * energy relative to the elements: 0.049 eV per atom
! * total energy: -10.3510 eV/atom
! * calculated volume: 16.87 Å³/atom
&SYSTEM
  ibrav = 0, nat = 3, ntyp = 3
/
ATOMIC_SPECIES
Gd 157.25 Gd.upf
Ti 47.87 Ti.upf
C 12.01 C.upf
ATOMIC_POSITIONS angstrom
Gd 0.0000 0.0000 0.0000
Ti 1.8520 1.0692 2.1282
C 0.0000 2.1385 2.1199
CELL_PARAMETERS angstrom
3.7040 0.0000 0.0000
-1.8520 3.2077 0.0000
0.0000 0.0000 4.2595

---

Entry 3:
! PBE-GGA Pr3NpIn12, optimized geometry; values from VASP
! * space-group type: No. 123
! * total moment: 4.013 μB/cell
! * energy relative to the elements: -0.353 eV per atom
! * total energy: -4.1117 eV/atom
! * calculated volume: 26.14 Å³/atom
&SYSTEM
  ibrav = 0, nat = 16, ntyp = 3
/
ATOMIC_SPECIES
Pr 140.91 Pr.upf
Np 237.00 Np.upf
In 114.82 In.upf
ATOMIC_POSITIONS angstrom
Pr 0.0000 0.0000 0.0000
Pr 0.0000 0.0000 4.7554
Pr 0.0000 0.0000 14.1483
Np 0.0000 0.0000 9.4518
In 0.0000 2.3517 2.3823
In 0.0000 2.3517 7.1654
In 0.0000 2.3517 11.7383
In 0.0000 2.3517 16.5214
In 2.3517 0.0000 2.3823
In 2.3517 0.0000 7.1654
In 2.3517 0.0000 11.7383
In 2.3517 0.0000 16.5214
In 2.3517 2.3517 0.0000
In 2.3517 2.3517 4.7636
In 2.3517 2.3517 9.4518
In 2.3517 2.3517 14.1401
CELL_PARAMETERS angstrom
4.7034 0.0000 0.0000
0.0000 4.7034 0.0000
0.0000 0.0000 18.9037

---

Entry 4:
! PBE-GGA KAsRu2, optimized geometry; values from VASP
! * space-group type: No. 119
! * total moment: 3.137 μB/cell
! * energy relative to the elements: 0.950 eV per atom
! * total energy: -5.1245 eV/atom
! * calculated volume: 17.48 Å³/atom
&SYSTEM
  ibrav = 0, nat = 8, ntyp = 3
/
ATOMIC_SPECIES
K 39.10 K.upf
As 74.92 As.upf
Ru 101.07 Ru.upf
ATOMIC_POSITIONS angstrom
K 0.0000 0.0000 0.0000
K 2.3137 2.3137 3.2658
As 0.0000 2.3137 4.8988
As 2.3137 0.0000 1.6329
Ru 0.0000 0.0000 3.2658
Ru 0.0000 2.3137 1.6329
Ru 2.3137 0.0000 4.8988
Ru 2.3137 2.3137 0.0000
CELL_PARAMETERS angstrom
4.6275 0.0000 0.0000
0.0000 4.6275 0.0000
0.0000 0.0000 6.5317

---

Entry 5:
! PBE-GGA SrSb3Pb, optimized geometry; values from VASP
! * space-group type: No. 221
! * energy relative to the lowest polymorph listed for this composition: 0 meV per atom
! * ΔE_f (raw): 0.2766 eV/atom
! * total moment: 0.000 μB/cell
! * total energy: -3.2749 eV/atom
! * calculated volume: 39.26 Å³/atom
&SYSTEM
  ibrav = 0, nat = 5, ntyp = 3
/
ATOMIC_SPECIES
Sr 87.62 Sr.upf
Sb 121.76 Sb.upf
Pb 207.20 Pb.upf
ATOMIC_POSITIONS angstrom
Sr 0.0000 0.0000 0.0000
Sb 0.0000 2.9058 2.9058
Sb 2.9058 0.0000 2.9058
Sb 2.9058 2.9058 0.0000
Pb 2.9058 2.9058 2.9058
CELL_PARAMETERS angstrom
5.8116 0.0000 0.0000
0.0000 5.8116 0.0000
0.0000 0.0000 5.8116

---

Entry 6:
! PBE-GGA BaHfSeN2, optimized geometry; values from VASP
! * space-group type: No. 123
! * energy relative to the lowest polymorph listed for this composition: 0 meV per atom
! * ΔE_f (raw): -0.6783 eV/atom
! * total moment: 1.298 μB/cell
! * total energy: -7.0806 eV/atom
! * calculated volume: 20.47 Å³/atom
&SYSTEM
  ibrav = 0, nat = 5, ntyp = 4
/
ATOMIC_SPECIES
Ba 137.33 Ba.upf
Hf 178.49 Hf.upf
Se 78.96 Se.upf
N 14.01 N.upf
ATOMIC_POSITIONS angstrom
Ba 0.0000 0.0000 0.0000
Hf 2.1846 2.1846 2.6813
Se 2.1846 2.1846 0.0000
N 0.0000 2.1846 2.6813
N 2.1846 0.0000 2.6813
CELL_PARAMETERS angstrom
4.3692 0.0000 0.0000
0.0000 4.3692 0.0000
0.0000 0.0000 5.3625

---

Entry 7:
! PBE-GGA LaGa3C, optimized geometry; values from VASP
! * space-group type: No. 221
! * energy relative to the lowest polymorph listed for this composition: 0 meV per atom
! * total moment: 0.000 μB/cell
! * energy relative to the elements: 0.441 eV per atom
! * total energy: -4.2053 eV/atom
! * calculated volume: 21.06 Å³/atom
&SYSTEM
  ibrav = 0, nat = 5, ntyp = 3
/
ATOMIC_SPECIES
La 138.91 La.upf
Ga 69.72 Ga.upf
C 12.01 C.upf
ATOMIC_POSITIONS angstrom
La 0.0000 0.0000 0.0000
Ga 0.0000 2.3609 2.3609
Ga 2.3609 0.0000 2.3609
Ga 2.3609 2.3609 0.0000
C 2.3609 2.3609 2.3609
CELL_PARAMETERS angstrom
4.7218 0.0000 0.0000
0.0000 4.7218 0.0000
0.0000 0.0000 4.7218

---

Entry 8:
! PBE-GGA PmY12Tl3, optimized geometry; values from VASP
! * space-group type: No. 123
! * total moment: 2.285 μB/cell
! * energy relative to the elements: -0.132 eV per atom
! * total energy: -5.7202 eV/atom
! * calculated volume: 29.93 Å³/atom
&SYSTEM
  ibrav = 0, nat = 16, ntyp = 3
/
ATOMIC_SPECIES
Pm 145.00 Pm.upf
Y 88.91 Y.upf
Tl 204.38 Tl.upf
ATOMIC_POSITIONS angstrom
Pm 0.0000 0.0000 0.0000
Y 0.0000 2.4443 2.6501
Y 0.0000 2.4443 7.5731
Y 0.0000 2.4443 12.4662
Y 0.0000 2.4443 17.3892
Y 2.4443 0.0000 2.6501
Y 2.4443 0.0000 7.5731
Y 2.4443 0.0000 12.4662
Y 2.4443 0.0000 17.3892
Y 2.4443 2.4443 0.0000
Y 2.4443 2.4443 5.1420
Y 2.4443 2.4443 10.0196
Y 2.4443 2.4443 14.8973
Tl 0.0000 0.0000 5.1587
Tl 0.0000 0.0000 10.0196
Tl 0.0000 0.0000 14.8805
CELL_PARAMETERS angstrom
4.8885 0.0000 0.0000
0.0000 4.8885 0.0000
0.0000 0.0000 20.0393

---

Q: What is the total energy in the sixth record?
A: -7.0806 eV/atom